[1]
Computed, not measured: an optimized crystal structure of NpUTl at the GGA-PBE level of DFT.

Structure (CIF):
```
data_NpUTl
_chemical_formula_sum 'Np1 U1 Tl1'
_space_group_name_H-M_alt 'P 1'
_space_group_IT_number 1
_cell_length_a 4.9370
_cell_length_b 4.9370
_cell_length_c 4.9370
_cell_angle_alpha 60.00
_cell_angle_beta 60.00
_cell_angle_gamma 60.00
loop_
_space_group_symop_operation_xyz
'x,y,z'
loop_
_atom_site_label
_atom_site_fract_x
_atom_site_fract_y
_atom_site_fract_z
_atom_site_occupancy
Np1 0.7500 0.7500 0.7500 1
Tl1 0.2500 0.2500 0.2500 1
U1 0.0000 0.0000 0.0000 1
```

- space-group type = F-43m
- DFT total energy (eV per atom) = -7.911
- energy relative to the lowest polymorph listed for this composition (kcal/mol of atoms) = 0.00

=====

[2]
Computed, not measured: an optimized crystal structure of YNpTl at the GGA-PBE level of DFT.

Structure (CIF):
```
data_YNpTl
_chemical_formula_sum 'Y1 Np1 Tl1'
_space_group_name_H-M_alt 'P 1'
_space_group_IT_number 1
_cell_length_a 5.2076
_cell_length_b 5.2076
_cell_length_c 5.2076
_cell_angle_alpha 60.00
_cell_angle_beta 60.00
_cell_angle_gamma 60.00
loop_
_space_group_symop_operation_xyz
'x,y,z'
loop_
_atom_site_label
_atom_site_fract_x
_atom_site_fract_y
_atom_site_fract_z
_atom_site_occupancy
Np1 0.2500 0.2500 0.2500 1
Tl1 0.0000 0.0000 0.0000 1
Y1 0.7500 0.7500 0.7500 1
```

- space-group type = F-43m
- DFT total energy (eV per atom) = -6.691
- energy relative to the lowest polymorph listed for this composition (kcal/mol of atoms) = 0.00

=====

[3]
Computed, not measured: an optimized crystal structure of NpTlZn at the GGA-PBE level of DFT.

Structure (CIF):
```
data_NpTlZn
_chemical_formula_sum 'Np1 Tl1 Zn1'
_space_group_name_H-M_alt 'P 1'
_space_group_IT_number 1
_cell_length_a 4.7654
_cell_length_b 4.7654
_cell_length_c 4.7654
_cell_angle_alpha 60.00
_cell_angle_beta 60.00
_cell_angle_gamma 60.00
loop_
_space_group_symop_operation_xyz
'x,y,z'
loop_
_atom_site_label
_atom_site_fract_x
_atom_site_fract_y
_atom_site_fract_z
_atom_site_occupancy
Np1 0.2500 0.2500 0.2500 1
Tl1 0.7500 0.7500 0.7500 1
Zn1 0.0000 0.0000 0.0000 1
```

- space-group type = F-43m
- DFT total energy (eV per atom) = -5.092

=====

[4]
Computed, not measured: an optimized crystal structure of ZrNpTl at the GGA-PBE level of DFT.

Structure (CIF):
```
data_ZrNpTl
_chemical_formula_sum 'Zr1 Np1 Tl1'
_space_group_name_H-M_alt 'P 1'
_space_group_IT_number 1
_cell_length_a 5.0305
_cell_length_b 5.0305
_cell_length_c 5.0305
_cell_angle_alpha 60.00
_cell_angle_beta 60.00
_cell_angle_gamma 60.00
loop_
_space_group_symop_operation_xyz
'x,y,z'
loop_
_atom_site_label
_atom_site_fract_x
_atom_site_fract_y
_atom_site_fract_z
_atom_site_occupancy
Np1 0.2500 0.2500 0.2500 1
Tl1 0.0000 0.0000 0.0000 1
Zr1 0.7500 0.7500 0.7500 1
```

- space-group type = F-43m
- DFT total energy (eV per atom) = -7.139

=====

[5]
Computed, not measured: an optimized crystal structure of Tm2Np at the GGA-PBE level of DFT.

Structure (CIF):
```
data_Tm2Np
_chemical_formula_sum 'Tm4 Np2'
_space_group_name_H-M_alt 'P 1'
_space_group_IT_number 1
_cell_length_a 8.5234
_cell_length_b 8.5234
_cell_length_c 8.5234
_cell_angle_alpha 60.00
_cell_angle_beta 60.00
_cell_angle_gamma 60.00
loop_
_space_group_symop_operation_xyz
'x,y,z'
loop_
_atom_site_label
_atom_site_fract_x
_atom_site_fract_y
_atom_site_fract_z
_atom_site_occupancy
Np1 0.2500 0.2500 0.2500 1
Np2 0.5000 0.5000 0.5000 1
Tm1 0.3750 0.3750 0.3750 1
Tm2 0.8750 0.3750 0.3750 1
Tm3 0.3750 0.8750 0.3750 1
Tm4 0.3750 0.3750 0.8750 1
```

- space-group type = Fd-3m
- DFT total energy (eV per atom) = -4.224

=====

[6]
Computed, not measured: an optimized crystal structure of TmNpW at the GGA-PBE level of DFT.

Structure (CIF):
```
data_TmNpW
_chemical_formula_sum 'Tm1 Np1 W1'
_space_group_name_H-M_alt 'P 1'
_space_group_IT_number 1
_cell_length_a 4.7049
_cell_length_b 4.7049
_cell_length_c 4.7049
_cell_angle_alpha 60.00
_cell_angle_beta 60.00
_cell_angle_gamma 60.00
loop_
_space_group_symop_operation_xyz
'x,y,z'
loop_
_atom_site_label
_atom_site_fract_x
_atom_site_fract_y
_atom_site_fract_z
_atom_site_occupancy
Np1 0.0000 0.0000 0.0000 1
Tm1 0.5000 0.5000 0.5000 1
W1 0.2500 0.2500 0.2500 1
```

- space-group type = F-43m
- DFT total energy (eV per atom) = -9.184
- energy relative to the lowest polymorph listed for this composition (kcal/mol of atoms) = 0.00

=====

Question: Number 1 is which compound?
Answer: NpUTl

=====

Question: Which value of DFT total energy does entry 3 give?
Answer: -5.092 eV per atom

=====

Question: The lowest DFT total energy belongs to which entry?
Answer: TmNpW